Entry 1:
This record from the Alexandria database describes a crystal of LiZnP2 relaxed with PBEsol. The functional is meta-GGA SCAN.

a = 3.830 Å, b = 3.830 Å, c = 4.698 Å
α = 114.06°, β = 114.06°, γ = 90.00°
Fractional coordinates of all 4 atoms:
P: 0.250 0.750 0.500
P: 0.750 0.250 0.500
Zn: 0.500 0.500 0.000
Li: 0.000 0.000 0.000

Calculated values
* energy of formation: 0.068 eV per atom
* electronic total energy: -9.108 eV per atom
* space-group type: I4/mmm (139)
* theoretical density: 4.0 g cm⁻³
* total moment: 0.0 μB per formula unit

=====

Entry 2:
This record from the Alexandria database describes a crystal of Sc2Sb2H relaxed with PBEsol. The functional is meta-GGA SCAN.

a = 4.428 Å, b = 6.668 Å, c = 6.668 Å
α = 90.00°, β = 90.00°, γ = 90.00°
Fractional coordinates of all 10 atoms:
Sb: 0.500 0.150 0.650
Sb: 0.500 0.650 0.850
Sb: 0.500 0.850 0.350
Sb: 0.500 0.350 0.150
Sc: 0.000 0.330 0.830
Sc: 0.000 0.170 0.330
Sc: 0.000 0.830 0.670
Sc: 0.000 0.670 0.170
H: 0.000 0.500 0.500
H: 0.000 0.000 0.000

Calculated values
* electronic total energy: -21.826 eV per atom
* space-group type: P4/mbm (127)
* theoretical density: 5.6 g cm⁻³
* total moment: 0.0 μB per formula unit

=====

Entry 3:
This record from the Alexandria database describes a crystal of RbTeH relaxed with PBEsol. The functional is meta-GGA SCAN.

a = 5.784 Å, b = 6.230 Å, c = 5.784 Å
α = 90.00°, β = 60.18°, γ = 90.00°
Fractional coordinates of all 6 atoms:
Rb: 0.101 0.500 0.101
Rb: 0.433 0.000 0.433
Te: 0.767 0.727 0.767
Te: 0.767 0.273 0.767
H: 0.203 0.000 0.069
H: 0.069 0.000 0.203

Calculated values
* electronic total energy: -21.140 eV per atom
* space-group type: Amm2 (38)
* theoretical density: 3.9 g cm⁻³
* total moment: 0.0 μB per formula unit

=====

Entry 4:
This record from the Alexandria database describes a crystal of LiYTc relaxed with PBEsol. The functional is meta-GGA SCAN.

a = 2.952 Å, b = 2.952 Å, c = 7.280 Å
α = 97.57°, β = 97.57°, γ = 110.52°
Fractional coordinates of all 3 atoms:
Y: 0.687 0.687 0.374
Li: 0.979 0.979 0.958
Tc: 0.334 0.334 0.668

Calculated values
* energy of formation: 0.459 eV per atom
* electronic total energy: -21.305 eV per atom
* energy above the lowest structure with this stoichiometry: 0.103 eV/atom
* space-group type: Fmm2 (42)
* theoretical density: 5.6 g cm⁻³
* total moment: 0.0 μB per formula unit

=====

Entry 5:
This record from the Alexandria database describes a crystal of BaCa3Pd relaxed with PBEsol. The functional is meta-GGA SCAN.

a = 5.706 Å, b = 5.706 Å, c = 5.706 Å
α = 90.00°, β = 90.00°, γ = 90.00°
Last column: magnetic moment on the atom in μB.
Fractional coordinates of all 5 atoms:
Ca: 0.000 0.500 0.000  0.01
Ca: 0.500 0.000 0.000  0.01
Ca: 0.000 0.000 0.500  0.01
Ba: 0.500 0.500 0.500  0.06
Pd: 0.000 0.000 0.000  0.01

Calculated values
* energy of formation: -0.343 eV per atom
* electronic total energy: -20.606 eV per atom
* space-group type: Pm-3m (221)
* theoretical density: 3.3 g cm⁻³
* total moment: 0.4 μB per formula unit

=====

Entry 6:
This record from the Alexandria database describes a crystal of CrCo2H relaxed with PBEsol. The functional is meta-GGA SCAN.

a = 4.267 Å, b = 4.525 Å, c = 4.525 Å
α = 77.16°, β = 61.87°, γ = 61.87°
Last column: magnetic moment on the atom in μB.
Fractional coordinates of all 8 atoms:
Cr: 0.000 0.000 0.000  -0.78
Cr: 0.750 0.500 0.500  -0.78
Co: 0.875 0.602 0.898  0.91
Co: 0.375 0.398 0.102  0.91
Co: 0.227 0.898 0.398  0.91
Co: 0.523 0.102 0.602  0.91
H: 0.500 0.000 0.000  -0.01
H: 0.250 0.500 0.500  -0.01

Calculated values
* electronic total energy: -13.734 eV per atom
* space-group type: I-42d (122)
* theoretical density: 8.4 g cm⁻³
* total moment: 1.0 μB per formula unit